Nd2ZrNpAs4 after structural relaxation. Source: Alexandria via LeMat-Bulk, functional PBE.

Summary:
Mass density (g/cm³): 7.69
Symmetry: No. 10
Crystal system: monoclinic
Formation energy (eV/atom): -1.201

abc: 7.1100 4.1131 7.1605
angles: 90.00 109.14 90.00
With the nearest neighbours (Å) after each atom.
Fractional coordinates of all 8 atoms:
Nd  0.0000  0.0000  0.0000  6 As 2.96-2.97
Nd  0.5000  0.5000  0.0000  6 As 3.01-3.02
Zr  0.0000  0.5000  0.5000  6 As 2.80-2.82
Np  0.5000  0.0000  0.5000  6 As 2.86-2.87
As  0.2377  0.0000  0.7290  2 Zr 2.82, 1 Np 2.86, 3 Nd 2.96-3.02
As  0.2493  0.5000  0.2674  1 Zr 2.80, 2 Np 2.87, 3 Nd 2.97-3.01
As  0.7507  0.5000  0.7326  1 Zr 2.80, 2 Np 2.87, 3 Nd 2.97-3.01
As  0.7623  0.0000  0.2710  2 Zr 2.82, 1 Np 2.86, 3 Nd 2.96-3.02

***

Nd6AsO12 after structural relaxation. Source: Alexandria via LeMat-Bulk, functional PBE.

Summary:
Mass density (g/cm³): 6.56
Formation energy from raw total energies (eV/atom): -2.8814
Symmetry: No. 148
Crystal system: trigonal

abc: 6.6789 6.6789 6.6789
angles: 98.58 98.58 98.58
With the nearest neighbours (Å) after each atom.
Fractional coordinates of all 19 atoms:
Nd  0.1092  0.7964  0.6409  6 O 2.30-2.55
Nd  0.2036  0.3591  0.8908  6 O 2.30-2.55
Nd  0.3591  0.8908  0.2036  6 O 2.30-2.55
Nd  0.6409  0.1092  0.7964  6 O 2.30-2.55
Nd  0.7964  0.6409  0.1092  6 O 2.30-2.55
Nd  0.8908  0.2036  0.3591  6 O 2.30-2.55
As  0.5000  0.5000  0.5000  6 O 1.92
O  0.0550  0.9065  0.3228  4 Nd 2.30-2.40
O  0.0935  0.6772  0.9450  4 Nd 2.30-2.40
O  0.2170  0.4366  0.5296  1 As 1.92
O  0.3228  0.0550  0.9065  4 Nd 2.30-2.40
O  0.4366  0.5296  0.2170  1 As 1.92
O  0.4704  0.7830  0.5634  1 As 1.92
O  0.5296  0.2170  0.4366  1 As 1.92
O  0.5634  0.4704  0.7830  1 As 1.92
O  0.6772  0.9450  0.0935  4 Nd 2.30-2.40
O  0.7830  0.5634  0.4704  1 As 1.92
O  0.9065  0.3228  0.0550  4 Nd 2.30-2.40
O  0.9450  0.0935  0.6772  4 Nd 2.30-2.40

***

NdAsO4 after structural relaxation. Source: Alexandria via LeMat-Bulk, functional PBE.

Summary:
Mass density (g/cm³): 5.31
Formation energy from raw total energies (eV/atom): -2.3362
Symmetry: No. 141
Energy relative to the lowest polymorph listed for this composition (meV/atom): 0
Crystal system: tetragonal

abc: 6.1471 6.1471 6.1471
angles: 106.33 106.33 115.96
With the nearest neighbours (Å) after each atom.
Fractional coordinates of all 12 atoms:
Nd  0.3750  0.6250  0.7500  8 O 2.43-2.52
Nd  0.6250  0.3750  0.2500  8 O 2.43-2.52
As  0.1250  0.8750  0.2500  4 O 1.72
As  0.8750  0.1250  0.7500  4 O 1.72
O  0.1328  0.7044  0.4284  1 As 1.72
O  0.2240  0.2956  0.9284  1 As 1.72
O  0.2956  0.2240  0.4284  1 As 1.72
O  0.2956  0.8672  0.0716  1 As 1.72
O  0.7044  0.1328  0.9284  1 As 1.72
O  0.7044  0.7760  0.5716  1 As 1.72
O  0.7760  0.7044  0.0716  1 As 1.72
O  0.8672  0.2956  0.5716  1 As 1.72

***

Nd3As2O after structural relaxation. Source: Alexandria via LeMat-Bulk, functional PBE.

Summary:
Mass density (g/cm³): 6.80
Formation energy from raw total energies (eV/atom): -1.8050
Symmetry: No. 15
Crystal system: monoclinic

abc: 7.0368 7.0368 8.0976
angles: 106.58 106.58 50.16
With the nearest neighbours (Å) after each atom.
Fractional coordinates of all 12 atoms:
Nd  0.0533  0.9467  0.7500  1 O 2.33
Nd  0.3468  0.3506  0.4229  2 O 2.74-2.76, 4 As 2.93-3.00
Nd  0.3506  0.3468  0.9229  2 O 2.74-2.76, 4 As 2.93-3.00
Nd  0.6494  0.6532  0.0771  2 O 2.74-2.76, 4 As 2.93-3.00
Nd  0.6532  0.6494  0.5771  2 O 2.74-2.76, 4 As 2.93-3.00
Nd  0.9467  0.0533  0.2500  1 O 2.33
As  0.1720  0.1742  0.0861  6 Nd 2.93-3.00
As  0.1742  0.1720  0.5861  6 Nd 2.93-3.00
As  0.8258  0.8280  0.4139  6 Nd 2.93-3.00
As  0.8280  0.8258  0.9139  6 Nd 2.93-3.00
O  0.4442  0.5558  0.7500  1 Nd 2.33
O  0.5558  0.4442  0.2500  1 Nd 2.33

***

Calculated Fermi-level density of states (states/eV per cell), listed in the same order as above: 11.26; 14.41; 0.00; 3.56